# CsReSi3 GGA-PBE optimized geometry
data_CsReSi3
_chemical_formula_sum 'Cs1 Re1 Si3'
_cell_length_a 5.0863
_cell_length_b 5.0863
_cell_length_c 5.0863
_cell_angle_alpha 90.00
_cell_angle_beta 90.00
_cell_angle_gamma 90.00
_symmetry_space_group_name_H-M 'P 1'
_symmetry_Int_Tables_number 1
loop_
_symmetry_equiv_pos_as_xyz
'x,y,z'
loop_
_atom_site_label
_atom_site_fract_x
_atom_site_fract_y
_atom_site_fract_z
_atom_site_occupancy
Cs1 0.0000 0.0000 0.0000 1
Re1 0.5000 0.5000 0.5000 1
Si1 0.0000 0.0000 0.5000 1
Si2 0.0000 0.5000 0.0000 1
Si3 0.5000 0.0000 0.0000 1
# - Total magnetic moment: 0.00 μB/cell
# - Distance to the lowest polymorph of the same formula: 3071 meV per atom
# - Space group: Pm-3m, No. 221
# - Raw formation energy: 3.414 eV per atom
# - Crystal system: cubic


# Na3LaTc GGA-PBE optimized geometry
data_Na3LaTc
_chemical_formula_sum 'Na12 La4 Tc4'
_cell_length_a 10.4667
_cell_length_b 4.9500
_cell_length_c 13.0239
_cell_angle_alpha 90.00
_cell_angle_beta 110.75
_cell_angle_gamma 90.00
_symmetry_space_group_name_H-M 'P 1'
_symmetry_Int_Tables_number 1
loop_
_symmetry_equiv_pos_as_xyz
'x,y,z'
loop_
_atom_site_label
_atom_site_fract_x
_atom_site_fract_y
_atom_site_fract_z
_atom_site_occupancy
Na1 0.0376 0.0348 0.1397 1
Na2 0.0376 0.4652 0.6397 1
Na3 0.2565 0.5223 0.2961 1
Na4 0.2565 0.9777 0.7961 1
Na5 0.4096 0.5194 0.7401 1
Na6 0.4096 0.9806 0.2401 1
Na7 0.5904 0.0194 0.7599 1
Na8 0.5904 0.4806 0.2599 1
Na9 0.7435 0.0223 0.2039 1
Na10 0.7435 0.4777 0.7039 1
Na11 0.9624 0.5348 0.3603 1
Na12 0.9624 0.9652 0.8603 1
La1 0.2894 0.0534 0.5017 1
La2 0.2894 0.4466 0.0017 1
La3 0.7106 0.5534 0.9983 1
La4 0.7106 0.9466 0.4983 1
Tc1 0.4696 0.7419 0.5185 1
Tc2 0.4696 0.7581 0.0185 1
Tc3 0.5304 0.2419 0.9815 1
Tc4 0.5304 0.2581 0.4815 1
# - Total magnetic moment: 0.00 μB/cell
# - Distance to the lowest polymorph of the same formula: 242 meV per atom
# - Space group: P2_1/c, No. 14
# - Crystal system: monoclinic
# - Formation enthalpy at 0 K: 0.28 eV/atom


# Hf2Zn4Cu3 GGA-PBE optimized geometry
data_Hf2Zn4Cu3
_chemical_formula_sum 'Hf4 Zn8 Cu6'
_cell_length_a 7.6421
_cell_length_b 7.6421
_cell_length_c 7.3271
_cell_angle_alpha 90.00
_cell_angle_beta 90.00
_cell_angle_gamma 139.62
_symmetry_space_group_name_H-M 'P 1'
_symmetry_Int_Tables_number 1
loop_
_symmetry_equiv_pos_as_xyz
'x,y,z'
loop_
_atom_site_label
_atom_site_fract_x
_atom_site_fract_y
_atom_site_fract_z
_atom_site_occupancy
Hf1 0.1025 0.8975 0.8936 1
Hf2 0.3975 0.6025 0.3936 1
Hf3 0.6025 0.3975 0.6064 1
Hf4 0.8975 0.1025 0.1064 1
Zn1 0.1759 0.8241 0.5148 1
Zn2 0.1840 0.3160 0.7500 1
Zn3 0.3160 0.1840 0.2500 1
Zn4 0.3241 0.6759 0.0148 1
Zn5 0.6759 0.3241 0.9852 1
Zn6 0.6840 0.8160 0.7500 1
Zn7 0.8160 0.6840 0.2500 1
Zn8 0.8241 0.1759 0.4852 1
Cu1 0.0000 0.0000 0.5000 1
Cu2 0.0098 0.4902 0.7500 1
Cu3 0.4902 0.0098 0.2500 1
Cu4 0.5000 0.5000 0.0000 1
Cu5 0.5098 0.9902 0.7500 1
Cu6 0.9902 0.5098 0.2500 1
# - Total magnetic moment: 0.00 μB/cell
# - Space group: Cmce, No. 64
# - Crystal system: orthorhombic
# - Formation enthalpy at 0 K: -0.12 eV/atom


# ErMnC GGA-PBE optimized geometry
data_ErMnC
_chemical_formula_sum 'Er2 Mn2 C2'
_cell_length_a 2.8346
_cell_length_b 2.8346
_cell_length_c 9.3993
_cell_angle_alpha 90.00
_cell_angle_beta 90.00
_cell_angle_gamma 90.00
_symmetry_space_group_name_H-M 'P 1'
_symmetry_Int_Tables_number 1
loop_
_symmetry_equiv_pos_as_xyz
'x,y,z'
loop_
_atom_site_label
_atom_site_fract_x
_atom_site_fract_y
_atom_site_fract_z
_atom_site_occupancy
Er1 0.0000 0.0000 0.0000 1
Er2 0.5000 0.5000 0.5000 1
Mn1 0.0000 0.0000 0.2764 1
Mn2 0.5000 0.5000 0.7764 1
C1 0.0000 0.0000 0.7085 1
C2 0.5000 0.5000 0.2085 1
# - Total magnetic moment: 0.37 μB/cell
# - Distance to the lowest polymorph of the same formula: 405 meV per atom
# - Space group: I4mm, No. 107
# - Crystal system: tetragonal
# - Formation enthalpy at 0 K: 0.39 eV/atom


# KNpSeS GGA-PBE optimized geometry
data_KNpSeS
_chemical_formula_sum 'K3 Np3 Se3 S3'
_cell_length_a 4.1388
_cell_length_b 4.1388
_cell_length_c 23.1447
_cell_angle_alpha 90.00
_cell_angle_beta 90.00
_cell_angle_gamma 120.00
_symmetry_space_group_name_H-M 'P 1'
_symmetry_Int_Tables_number 1
loop_
_symmetry_equiv_pos_as_xyz
'x,y,z'
loop_
_atom_site_label
_atom_site_fract_x
_atom_site_fract_y
_atom_site_fract_z
_atom_site_occupancy
K1 0.0000 0.0000 0.0000 1
K2 0.3333 0.6667 0.6667 1
K3 0.6667 0.3333 0.3333 1
Np1 0.0000 0.0000 0.1645 1
Np2 0.3333 0.6667 0.8311 1
Np3 0.6667 0.3333 0.4978 1
Se1 0.0000 0.0000 0.5695 1
Se2 0.3333 0.6667 0.2362 1
Se3 0.6667 0.3333 0.9028 1
S1 0.0000 0.0000 0.7688 1
S2 0.3333 0.6667 0.4354 1
S3 0.6667 0.3333 0.1021 1
# - Total magnetic moment: 12.00 μB/cell
# - Space group: R3m, No. 160
# - Raw formation energy: -1.297 eV per atom
# - Crystal system: trigonal


# TiAs2SeO GGA-PBE optimized geometry
data_TiAs2SeO
_chemical_formula_sum 'Ti1 As2 Se1 O1'
_cell_length_a 4.8523
_cell_length_b 4.8523
_cell_length_c 4.7169
_cell_angle_alpha 90.00
_cell_angle_beta 90.00
_cell_angle_gamma 90.00
_symmetry_space_group_name_H-M 'P 1'
_symmetry_Int_Tables_number 1
loop_
_symmetry_equiv_pos_as_xyz
'x,y,z'
loop_
_atom_site_label
_atom_site_fract_x
_atom_site_fract_y
_atom_site_fract_z
_atom_site_occupancy
Ti1 0.0000 0.0000 0.0000 1
As1 0.0000 0.5000 0.0000 1
As2 0.5000 0.0000 0.0000 1
Se1 0.0000 0.0000 0.5000 1
O1 0.5000 0.5000 0.5000 1
# - Total magnetic moment: 0.00 μB/cell
# - Distance to the lowest polymorph of the same formula: 459 meV per atom
# - Space group: P4/mmm, No. 123
# - Raw formation energy: 0.477 eV per atom
# - Crystal system: tetragonal


Please write out number 6 again, unchanged.
# TiAs2SeO GGA-PBE optimized geometry
data_TiAs2SeO
_chemical_formula_sum 'Ti1 As2 Se1 O1'
_cell_length_a 4.8523
_cell_length_b 4.8523
_cell_length_c 4.7169
_cell_angle_alpha 90.00
_cell_angle_beta 90.00
_cell_angle_gamma 90.00
_symmetry_space_group_name_H-M 'P 1'
_symmetry_Int_Tables_number 1
loop_
_symmetry_equiv_pos_as_xyz
'x,y,z'
loop_
_atom_site_label
_atom_site_fract_x
_atom_site_fract_y
_atom_site_fract_z
_atom_site_occupancy
Ti1 0.0000 0.0000 0.0000 1
As1 0.0000 0.5000 0.0000 1
As2 0.5000 0.0000 0.0000 1
Se1 0.0000 0.0000 0.5000 1
O1 0.5000 0.5000 0.5000 1
# - Total magnetic moment: 0.00 μB/cell
# - Distance to the lowest polymorph of the same formula: 459 meV per atom
# - Space group: P4/mmm, No. 123
# - Raw formation energy: 0.477 eV per atom
# - Crystal system: tetragonal


Please write out number 2 again, unchanged.
# Na3LaTc GGA-PBE optimized geometry
data_Na3LaTc
_chemical_formula_sum 'Na12 La4 Tc4'
_cell_length_a 10.4667
_cell_length_b 4.9500
_cell_length_c 13.0239
_cell_angle_alpha 90.00
_cell_angle_beta 110.75
_cell_angle_gamma 90.00
_symmetry_space_group_name_H-M 'P 1'
_symmetry_Int_Tables_number 1
loop_
_symmetry_equiv_pos_as_xyz
'x,y,z'
loop_
_atom_site_label
_atom_site_fract_x
_atom_site_fract_y
_atom_site_fract_z
_atom_site_occupancy
Na1 0.0376 0.0348 0.1397 1
Na2 0.0376 0.4652 0.6397 1
Na3 0.2565 0.5223 0.2961 1
Na4 0.2565 0.9777 0.7961 1
Na5 0.4096 0.5194 0.7401 1
Na6 0.4096 0.9806 0.2401 1
Na7 0.5904 0.0194 0.7599 1
Na8 0.5904 0.4806 0.2599 1
Na9 0.7435 0.0223 0.2039 1
Na10 0.7435 0.4777 0.7039 1
Na11 0.9624 0.5348 0.3603 1
Na12 0.9624 0.9652 0.8603 1
La1 0.2894 0.0534 0.5017 1
La2 0.2894 0.4466 0.0017 1
La3 0.7106 0.5534 0.9983 1
La4 0.7106 0.9466 0.4983 1
Tc1 0.4696 0.7419 0.5185 1
Tc2 0.4696 0.7581 0.0185 1
Tc3 0.5304 0.2419 0.9815 1
Tc4 0.5304 0.2581 0.4815 1
# - Total magnetic moment: 0.00 μB/cell
# - Distance to the lowest polymorph of the same formula: 242 meV per atom
# - Space group: P2_1/c, No. 14
# - Crystal system: monoclinic
# - Formation enthalpy at 0 K: 0.28 eV/atom